## ZnMo2Rh (GGA-PBE)

Data for a relaxed structure of ZnMo2Rh.

As for the formation energy: 0.54 eV/atom. The value obtained for the volume is 16.32 Å³/atom. As for the total moment: 0.0 μB per cell.

It has space group I-42d (No. 122), with a = 7.146 Å, b = 7.146 Å, c = 5.112 Å, α = 90.00°, β = 90.00° and γ = 90.00°. The inequivalent atoms are Zn at (0.000, 0.000, 0.000), Mo at (0.234, 0.250, 0.625) and Rh at (0.000, 0.000, 0.500).

## ZnMo2Rh (GGA-PBE)

Data for a relaxed structure of ZnMo2Rh.

As for the formation energy: -0.04 eV/atom. The value obtained for the volume is 14.85 Å³/atom. As for the total moment: 0.0 μB per cell.

It has space group I4/mmm (No. 139), with a = 3.698 Å, b = 3.698 Å, c = 8.684 Å, α = 90.00°, β = 90.00° and γ = 90.00°. The inequivalent atoms are Zn at (0.000, 0.000, 0.000), Mo at (0.000, 0.500, 0.250) and Rh at (0.000, 0.000, 0.500).

## ZnMo2Rh (GGA-PBE)

Data for a relaxed structure of ZnMo2Rh.

As for the formation energy: -0.05 eV/atom. The value obtained for the volume is 14.81 Å³/atom. As for the total moment: 0.0 μB per cell.

It has space group P2/m (No. 10), with a = 2.719 Å, b = 4.140 Å, c = 5.264 Å, α = 90.00°, β = 90.35° and γ = 90.00°. The inequivalent atoms are Zn at (0.000, 0.000, 0.000), Mo at (0.499, 0.500, 0.245) and Rh at (0.000, 0.000, 0.500).

## ZnMoRh3 (GGA-PBE)

Data for a relaxed structure of ZnMoRh3.

As for the formation energy: 1.21 eV/atom. The value obtained for the volume is 17.34 Å³/atom. As for the polymorph energy (0 for the lowest one): 147 meV/atom. As for the total moment: 0.0 μB per cell.

It has space group Pm-3m (No. 221), with a = 4.426 Å, b = 4.426 Å, c = 4.426 Å, α = 90.00°, β = 90.00° and γ = 90.00°. The inequivalent atoms are Zn at (0.000, 0.000, 0.000), Mo at (0.500, 0.500, 0.500) and Rh at (0.000, 0.000, 0.500).